1.
## AgPb3 (GGA-PBE)

Data for an optimized crystal structure of AgPb3.

Cell lengths 4.819, 4.819, 4.819 Å; angles 90.00, 90.00, 90.00 degrees
Element x y z (fractional)
Ag1 0.000 0.000 0.000
Pb1 0.000 0.500 0.500
Pb2 0.500 0.000 0.500
Pb3 0.500 0.500 0.000

- ΔE_f (eV/atom) = 0.082
- space group = Pm-3m (221)


2.
## ZnGaAgAu3 (GGA-PBE)

Data for an optimized crystal structure of ZnGaAgAu3.

Cell lengths 6.475, 3.998, 8.567 Å; angles 90.00, 110.54, 90.00 degrees
Element x y z (fractional)
Zn1 0.139 0.250 0.294
Zn2 0.861 0.750 0.706
Ga1 0.492 0.250 0.142
Ga2 0.508 0.750 0.858
Ag1 0.500 0.250 0.621
Ag2 0.500 0.750 0.379
Au1 0.163 0.750 0.528
Au2 0.174 0.750 0.055
Au3 0.199 0.250 0.810
Au4 0.801 0.750 0.190
Au5 0.826 0.250 0.945
Au6 0.837 0.250 0.472

- ΔE_f (eV/atom) = -0.114
- space group = P2_1/m (11)


3.
## LiMg2Cu5Ni2 (GGA-PBE)

Data for an optimized crystal structure of LiMg2Cu5Ni2.

Cell lengths 8.422, 8.422, 3.899 Å; angles 90.00, 90.00, 90.00 degrees
Element x y z (fractional)
Li1 0.000 0.000 0.000
Li2 0.500 0.500 0.000
Mg1 0.178 0.322 0.000
Mg2 0.322 0.822 0.000
Mg3 0.678 0.178 0.000
Mg4 0.822 0.678 0.000
Cu1 0.000 0.500 0.500
Cu2 0.071 0.795 0.500
Cu3 0.205 0.071 0.500
Cu4 0.295 0.571 0.500
Cu5 0.429 0.295 0.500
Cu6 0.500 0.000 0.500
Cu7 0.571 0.705 0.500
Cu8 0.705 0.429 0.500
Cu9 0.795 0.929 0.500
Cu10 0.929 0.205 0.500
Ni1 0.116 0.616 0.000
Ni2 0.384 0.116 0.000
Ni3 0.616 0.884 0.000
Ni4 0.884 0.384 0.000

- ΔE_f (eV/atom) = -0.050
- space group = P4/mbm (127)